(1)
Ba2In3Hg5 PBE relaxed; DFT formation energy = -0.3425 eV/atom; space-group type = P-4m2, No. 115; ΔE to the lowest computed polymorph = 13 meV per atom
1.0
-1.313 4.771 -0.482
-4.637 -1.136 1.389
3.034 2.027 11.791
Ba In Hg
2 3 5
Direct
0.500 0.000 0.246
0.000 0.500 0.754
0.500 0.000 0.632
0.000 0.500 0.368
0.000 0.000 0.500
0.500 0.500 0.000
0.000 0.000 0.000
0.500 0.000 0.863
0.000 0.500 0.137
0.500 0.500 0.500


(2)
Zr2ScSiOs PBE relaxed; space-group type = P4/mmm, No. 123; raw formation energy = 0.256 eV per atom
1.0
-0.112 -4.257 -2.801
3.961 -1.340 1.878
-2.562 -2.375 3.711
Sc Si Os Zr
1 1 1 2
Direct
0.500 0.500 0.500
0.000 0.500 0.000
0.000 0.000 0.000
0.000 0.000 0.500
0.500 0.000 0.000


(3)
SmGdPt4 PBE relaxed; DFT formation energy = -1.1021 eV/atom; space-group type = F-43m, No. 216
1.0
-5.345 -0.666 0.954
-3.091 -2.766 -3.567
-1.948 -4.938 1.322
Gd Sm Pt
1 1 4
Direct
0.000 0.000 0.000
0.250 0.250 0.250
0.625 0.625 0.125
0.625 0.125 0.625
0.625 0.625 0.625
0.125 0.625 0.625